(1)
# ZnS3I (GGA-PBE, optimized geometry)
# - N(E_F): 2.59 states/eV/cell
# - Calculated volume: 31.04 A^3/atom
# - Distance to the lowest polymorph of the same formula: 0.000 eV per atom
data_ZnS3I
_symmetry_space_group_name_H-M 'P 1'
_symmetry_Int_Tables_number 1
_symmetry_space_group_name_Hall 'P 1'
_cell_length_a 4.076
_cell_length_b 4.839
_cell_length_c 8.103
_cell_angle_alpha 77.74
_cell_angle_beta 86.50
_cell_angle_gamma 84.07
loop_
_atom_site_label
_atom_site_fract_x
_atom_site_fract_y
_atom_site_fract_z
_atom_site_occupancy
Zn1 0.000 0.000 0.000 1
S1 0.014 0.359 0.745 1
S2 0.542 0.734 0.978 1
S3 0.615 0.634 0.739 1
I1 0.011 0.073 0.299 1

(2)
# ZrSI (GGA-PBE, optimized geometry)
# - N(E_F): 9.39 states/eV/cell
# - Calculated volume: 30.15 A^3/atom
data_ZrSI
_symmetry_space_group_name_H-M 'R -3 m'
_symmetry_Int_Tables_number 166
_symmetry_space_group_name_Hall '-R 3 2"'
_cell_length_a 4.3971
_cell_length_b 4.3971
_cell_length_c 32.4109
_cell_angle_alpha 90.00
_cell_angle_beta 90.00
_cell_angle_gamma 120.00
loop_
_atom_site_label
_atom_site_fract_x
_atom_site_fract_y
_atom_site_fract_z
_atom_site_occupancy
Zr1 0.0000 0.0000 0.1229 1
S1 0.0000 0.0000 0.2012 1
I1 0.0000 0.0000 0.3950 1

(3)
# Zr2S4I (GGA-PBE, optimized geometry)
# - N(E_F): 13.38 states/eV/cell
# - Calculated volume: 22.41 A^3/atom
data_Zr2S4I
_symmetry_space_group_name_H-M 'C m c m'
_symmetry_Int_Tables_number 63
_symmetry_space_group_name_Hall '-C 2c 2'
_cell_length_a 3.742
_cell_length_b 11.639
_cell_length_c 14.405
_cell_angle_alpha 90.00
_cell_angle_beta 90.00
_cell_angle_gamma 90.00
loop_
_atom_site_label
_atom_site_fract_x
_atom_site_fract_y
_atom_site_fract_z
_atom_site_occupancy
Zr1 0.000 0.134 0.086 1
S1 0.000 0.217 0.584 1
S2 0.000 0.220 0.250 1
S3 0.000 0.500 0.000 1
I1 0.000 0.488 0.250 1

(4)
# ZrSI3 (GGA-PBE, optimized geometry)
# - N(E_F): 11.66 states/eV/cell
# - Calculated volume: 37.40 A^3/atom
# - Distance to the lowest polymorph of the same formula: 0.894 eV per atom
data_ZrSI3
_symmetry_space_group_name_H-M 'P m -3 m'
_symmetry_Int_Tables_number 221
_symmetry_space_group_name_Hall '-P 4 2 3'
_cell_length_a 5.719
_cell_length_b 5.719
_cell_length_c 5.719
_cell_angle_alpha 90.00
_cell_angle_beta 90.00
_cell_angle_gamma 90.00
loop_
_atom_site_label
_atom_site_fract_x
_atom_site_fract_y
_atom_site_fract_z
_atom_site_occupancy
Zr1 0.000 0.000 0.000 1
S1 0.500 0.500 0.500 1
I1 0.000 0.000 0.500 1

(5)
# ZrSI (GGA-PBE, optimized geometry)
# - N(E_F): 5.36 states/eV/cell
# - Calculated volume: 29.59 A^3/atom
data_ZrSI
_symmetry_space_group_name_H-M 'C 1 m 1'
_symmetry_Int_Tables_number 8
_symmetry_space_group_name_Hall 'C -2y'
_cell_length_a 14.950
_cell_length_b 3.758
_cell_length_c 6.319
_cell_angle_alpha 90.00
_cell_angle_beta 90.08
_cell_angle_gamma 90.00
loop_
_atom_site_label
_atom_site_fract_x
_atom_site_fract_y
_atom_site_fract_z
_atom_site_occupancy
Zr1 0.000 0.000 0.000 1
Zr2 0.000 0.500 0.500 1
S1 0.094 0.000 0.661 1
S2 0.406 0.000 0.160 1
I1 0.141 0.500 0.164 1
I2 0.359 0.500 0.663 1

(6)
# ZrSI (GGA-PBE, optimized geometry)
# - N(E_F): 2.04 states/eV/cell
# - Calculated volume: 32.42 A^3/atom
data_ZrSI
_symmetry_space_group_name_H-M 'P 1 21/m 1'
_symmetry_Int_Tables_number 11
_symmetry_space_group_name_Hall '-P 2yb'
_cell_length_a 3.880
_cell_length_b 5.084
_cell_length_c 10.037
_cell_angle_alpha 90.00
_cell_angle_beta 100.71
_cell_angle_gamma 90.00
loop_
_atom_site_label
_atom_site_fract_x
_atom_site_fract_y
_atom_site_fract_z
_atom_site_occupancy
Zr1 0.212 0.250 0.421 1
S1 0.203 0.750 0.402 1
I1 0.397 0.750 0.807 1

Let's list uncorrected formation energy in order: -0.141 -1.144 -0.955 -0.001 -1.199 -1.329 eV per atom.